4
Lattice="3.400 0.000 0.000 0.000 4.228 0.000 -1.700 -2.114 3.931" Properties=species:S:1:pos:R:3 comment="Zn2ReW | the Alexandria database | GGA-PBEsol | optimized geometry" sg="Imm2, No. 44" e_form_mev_per_atom=244 dft_energy_ev_per_atom=-7.3321 pbc="T T T"
Re 0.000 0.000 3.925
W 0.000 2.114 1.971
Zn 0.000 0.000 0.082
Zn 1.700 0.000 1.883

=====

4
Lattice="2.629 0.000 0.000 0.000 4.201 0.000 0.000 0.000 5.215" Properties=species:S:1:pos:R:3 comment="Zn2ReW | the Alexandria database | GGA-PBEsol | optimized geometry" sg="Pmmm, No. 47" e_form_mev_per_atom=375 dft_energy_ev_per_atom=-7.2009 pbc="T T T"
Re 1.314 2.101 0.000
W 1.314 2.101 2.608
Zn 0.000 0.000 3.923
Zn 0.000 0.000 1.293

=====

4
Lattice="-1.673 3.375 0.878 -3.343 -1.830 0.664 3.530 -1.257 3.039" Properties=species:S:1:pos:R:3 comment="ZnReW2 | the Alexandria database | GGA-PBEsol | optimized geometry" sg="I-4m2, No. 119" e_form_mev_per_atom=325 dft_energy_ev_per_atom=-10.3077 pbc="T T T"
Re -1.160 -1.157 2.237
W 0.000 0.000 0.000
W -0.326 1.445 2.344
Zn -2.508 0.773 0.771

=====

4
Lattice="3.214 0.000 0.000 0.000 3.214 0.000 0.000 0.000 5.735" Properties=species:S:1:pos:R:3 comment="ZnReW2 | the Alexandria database | GGA-PBEsol | optimized geometry" sg="P4/mmm, No. 123" e_form_mev_per_atom=334 dft_energy_ev_per_atom=-10.2985 pbc="T T T"
Re 1.607 1.607 2.867
W 0.000 0.000 4.359
W 0.000 0.000 1.375
Zn 1.607 1.607 0.000

=====

4
Lattice="-0.266 -2.387 -1.111 4.635 0.794 0.336 -0.484 -1.992 4.395" Properties=species:S:1:pos:R:3 comment="Zn2ReW | the Alexandria database | GGA-PBEsol | optimized geometry" sg="Cm, No. 8" e_form_mev_per_atom=258 dft_energy_ev_per_atom=-7.3180 pbc="T T T"
Re -0.342 -2.163 1.578
W 1.981 -1.921 0.502
Zn -0.465 -1.955 4.311
Zn 1.853 -1.727 3.265

=====

4
Lattice="3.168 0.000 0.000 0.000 3.168 0.000 0.000 0.000 5.815" Properties=species:S:1:pos:R:3 comment="Zn2ReW | the Alexandria database | GGA-PBEsol | optimized geometry" sg="P4mm, No. 99" e_form_mev_per_atom=179 dft_energy_ev_per_atom=-7.3970 pbc="T T T"
Re 0.000 0.000 2.993
W 1.584 1.584 4.256
Zn 0.000 0.000 0.107
Zn 1.584 1.584 1.366

=====

4
Lattice="3.804 0.000 0.000 0.000 3.804 0.000 -1.902 -1.902 4.551" Properties=species:S:1:pos:R:3 comment="ZrRe2W | the Alexandria database | GGA-PBEsol | optimized geometry" sg="I-4m2, No. 119" e_form_mev_per_atom=269 dft_energy_ev_per_atom=-12.1214 pbc="T T T"
Re 0.000 0.000 0.000
Re 1.902 0.000 2.275
W 1.902 1.902 0.000
Zr 0.000 1.902 2.275

=====

3
Lattice="-2.282 2.843 -2.418 -4.323 -0.489 -0.453 -2.734 2.815 1.933" Properties=species:S:1:pos:R:3 comment="ZrReW | the Alexandria database | GGA-PBEsol | optimized geometry" sg="F-43m, No. 216" e_form_mev_per_atom=479 dft_energy_ev_per_atom=-11.5979 pbc="T T T"
Re -2.335 1.292 -0.234
W 0.000 0.000 0.000
Zr -4.669 2.584 -0.469

=====

5
Lattice="-2.656 4.245 -0.108 -0.562 -2.208 4.460 4.841 1.041 -0.750" Properties=species:S:1:pos:R:3 comment="YRe4 | the Alexandria database | GGA-PBEsol | optimized geometry" sg="Im-3m, No. 229" e_form_mev_per_atom=2674 dft_energy_ev_per_atom=-9.3556 pbc="T T T"
Re -1.328 2.122 -0.054
Re 0.812 1.539 1.801
Re -0.281 -1.104 2.230
Re 2.421 0.520 -0.375
Y 0.000 0.000 0.000

=====

4
Lattice="3.580 0.000 0.000 0.000 5.216 0.000 -1.790 -2.608 5.324" Properties=species:S:1:pos:R:3 comment="Y3Re | the Alexandria database | GGA-PBEsol | optimized geometry" sg="Immm, No. 71" e_form_mev_per_atom=183 dft_energy_ev_per_atom=-8.2665 pbc="T T T"
Re 0.000 0.000 0.000
Y 0.000 2.608 3.176
Y 1.790 2.608 0.000
Y 1.790 0.000 2.148

=====

29
Lattice="-3.878 1.518 -7.381 -5.774 -0.429 6.189 5.462 6.263 1.662" Properties=species:S:1:pos:R:3 comment="Y5Re24 | the Alexandria database | GGA-PBEsol | optimized geometry" sg="I-43m, No. 217" e_form_mev_per_atom=-53 dft_energy_ev_per_atom=-12.2628 pbc="T T T"
Re -3.713 4.474 1.487
Re 0.199 6.196 -3.457
Re 1.327 2.674 -0.795
Re -0.418 1.788 -2.485
Re -3.346 4.850 -1.136
Re -0.976 4.990 4.954
Re -1.139 1.048 2.674
Re 0.960 2.298 1.828
Re -1.541 5.768 0.612
Re -6.765 2.049 -0.651
Re -2.590 0.494 -1.610
Re -2.945 0.130 0.926
Re -0.645 4.571 -1.732
Re -3.658 2.224 2.611
Re -0.445 3.512 -4.318
Re 2.143 4.827 -1.812
Re -1.262 3.937 2.686
Re -2.905 2.997 -2.780
Re 1.390 4.053 3.579
Re -1.724 2.199 4.834
Re -4.304 2.392 -0.258
Re 0.806 4.882 0.813
Re -5.434 0.314 1.241
Re -4.909 0.853 -2.519
Y -1.544 2.709 0.173
Y -3.646 -0.271 3.908
Y 3.450 3.955 1.049
Y -2.449 0.959 -4.661
Y 0.000 0.000 0.000

=====

6
Lattice="3.349 0.000 0.000 0.000 3.349 0.000 -1.674 -1.674 13.576" Properties=species:S:1:pos:R:3 comment="Y2Re | the Alexandria database | GGA-PBEsol | optimized geometry" sg="I4_1/amd, No. 141" e_form_mev_per_atom=201 dft_energy_ev_per_atom=-8.7908 pbc="T T T"
Re 0.000 0.000 0.000
Re 0.000 1.674 6.788
Y 1.674 0.000 5.126
Y 1.674 0.000 8.450
Y 0.000 0.000 11.915
Y 1.674 1.674 1.662